# 1
## LaTmPb2 (PBE)

Data for a relaxed structure of LaTmPb2.

POSCAR file:
```
LaTmPb2
1.0
5.116 0.000 0.000
0.000 5.116 0.000
0.000 0.000 4.551
La Tm Pb
1 1 2
direct
0.000 0.000 0.000
0.500 0.500 0.000
0.000 0.500 0.500
0.500 0.000 0.500
```

ΔH_f (0 K) = -467 meV per atom
Space-group type = P4/mmm, No. 123

=====

# 2
## PmNd3Ag (PBE)

Data for a relaxed structure of PmNd3Ag.

POSCAR file:
```
PmNd3Ag
1.0
5.943 -4.302 0.000
5.943 4.302 0.000
-4.511 0.000 6.749
Pm Nd Ag
2 6 2
direct
0.080 0.080 0.265
0.920 0.920 0.735
0.023 0.616 0.301
0.384 0.977 0.699
0.451 0.451 0.696
0.549 0.549 0.304
0.616 0.023 0.301
0.977 0.384 0.699
0.233 0.233 0.057
0.767 0.767 0.943
```

ΔH_f (0 K) = 60 meV per atom
Space-group type = C2/m, No. 12

=====

# 3
## MgCr3Co (PBE)

Data for a relaxed structure of MgCr3Co.

POSCAR file:
```
MgCr3Co
1.0
4.499 0.000 0.000
0.000 4.499 0.000
0.000 0.000 4.499
Mg Cr Co
1 3 1
direct
0.000 0.000 0.000
0.000 0.500 0.500
0.500 0.000 0.500
0.500 0.500 0.000
0.500 0.500 0.500
```

ΔH_f (0 K) = 1044 meV per atom
Space-group type = Pm-3m, No. 221

=====

# 4
## GaSbF3 (PBE)

Data for a relaxed structure of GaSbF3.

POSCAR file:
```
GaSbF3
1.0
4.262 0.000 0.000
0.000 4.262 0.000
0.000 0.000 4.262
Ga Sb F
1 1 3
direct
0.000 0.000 0.000
0.500 0.500 0.500
0.000 0.000 0.500
0.000 0.500 0.000
0.500 0.000 0.000
```

Space-group type = Pm-3m, No. 221
Formation energy (no corrections) = -1.297 eV/atom

=====

# 5
## MnAlTl (PBE)

Data for a relaxed structure of MnAlTl.

POSCAR file:
```
MnAlTl
1.0
-1.536 1.536 5.984
1.536 -1.536 5.984
1.536 1.536 -5.984
Mn Al Tl
1 1 1
direct
0.000 0.000 0.000
0.380 0.380 0.000
0.676 0.676 0.000
```

ΔH_f (0 K) = 286 meV per atom
Space-group type = I4mm, No. 107

=====

# 6
## Sm5YMg4 (PBE)

Data for a relaxed structure of Sm5YMg4.

POSCAR file:
```
Sm5YMg4
1.0
3.804 0.000 0.000
0.000 3.804 0.000
0.000 0.000 20.383
Sm Y Mg
5 1 4
direct
0.000 0.000 0.000
0.000 0.000 0.190
0.000 0.000 0.382
0.000 0.000 0.618
0.000 0.000 0.810
0.500 0.500 0.500
0.500 0.500 0.096
0.500 0.500 0.286
0.500 0.500 0.714
0.500 0.500 0.904
```

ΔH_f (0 K) = -71 meV per atom
Space-group type = P4/mmm, No. 123

=====

no.,E (eV/cell)
1,-18.68
2,-43.21
3,-32.35
4,-19.25
5,-14.42
6,-37.15